No. 1
First-principles (PBE-GGA) data for an optimized crystal structure of HfH2Au, as listed in Alexandria via LeMat-Bulk.

CIF file:
```
data_HfH2Au
_chemical_formula_sum 'Hf4 H8 Au4'
_space_group_name_H-M_alt 'I -4 2 d'
_space_group_IT_number 122
_space_group_name_Hall 'I -4 2bw'
_cell_length_a 4.262
_cell_length_b 4.262
_cell_length_c 10.586
_cell_angle_alpha 90.00
_cell_angle_beta 90.00
_cell_angle_gamma 90.00
loop_
_atom_site_label
_atom_site_fract_x
_atom_site_fract_y
_atom_site_fract_z
_atom_site_occupancy
Hf1 0.000 0.000 0.000 1
H1 0.192 0.250 0.125 1
Au1 0.000 0.000 0.500 1
```


No. 2
First-principles (PBE-GGA) data for an optimized crystal structure of Hf2HAu, as listed in Alexandria via LeMat-Bulk.

CIF file:
```
data_Hf2HAu
_chemical_formula_sum 'Hf6 H3 Au3'
_space_group_name_H-M_alt 'R -3 m'
_space_group_IT_number 166
_space_group_name_Hall '-R 3 2"'
_cell_length_a 4.2236
_cell_length_b 4.2236
_cell_length_c 13.2807
_cell_angle_alpha 90.00
_cell_angle_beta 90.00
_cell_angle_gamma 120.00
loop_
_atom_site_label
_atom_site_fract_x
_atom_site_fract_y
_atom_site_fract_z
_atom_site_occupancy
Hf1 0.0000 0.0000 0.2379 1
H1 0.0000 0.0000 0.5000 1
Au1 0.0000 0.0000 0.0000 1
```


Number 1: distance to the lowest polymorph of the same formula 0.0 meV/atom, calculated volume 192.3 Å³ per cell. Number 2: distance to the lowest polymorph of the same formula 404.4 meV/atom, calculated volume 205.2 Å³ per cell.